Entry 1:
Here is a geometry-optimized MnCuMo2 structure from Alexandria. Energies are from PBE.

Output
Space-group type: No. 35
Distance to the lowest polymorph of the same formula: 0.0 kJ/mol of atoms

Lattice parameters (Å, degrees): 3.222 4.220 8.366 90.00 90.00 90.00
Element x y z (fractional)
Mn1 0.000 0.000 0.000
Mn2 0.500 0.500 0.000
Cu1 0.000 0.500 0.768
Cu2 0.500 0.000 0.768
Mo1 0.000 0.000 0.514
Mo2 0.000 0.500 0.244
Mo3 0.500 0.000 0.244
Mo4 0.500 0.500 0.514

***

Entry 2:
Here is a geometry-optimized Ac4Bi8Pd3 structure from Alexandria. Energies are from PBE.

Output
Space-group type: No. 115
E_tot: -4.889 eV/atom

Lattice parameters (Å, degrees): 4.804 4.804 20.357 90.00 90.00 90.00
Element x y z (fractional)
Ac1 0.000 0.500 0.113
Ac2 0.000 0.500 0.619
Ac3 0.500 0.000 0.381
Ac4 0.500 0.000 0.887
Bi1 0.000 0.000 0.248
Bi2 0.000 0.000 0.752
Bi3 0.000 0.500 0.425
Bi4 0.000 0.500 0.929
Bi5 0.500 0.000 0.071
Bi6 0.500 0.000 0.575
Bi7 0.500 0.500 0.248
Bi8 0.500 0.500 0.752
Pd1 0.000 0.000 0.000
Pd2 0.000 0.000 0.500
Pd3 0.500 0.500 0.500

***

Entry 3:
Here is a geometry-optimized SrBeW2 structure from Alexandria. Energies are from PBE.

Output
Space-group type: No. 47
E_tot: -6.633 eV/atom

Lattice parameters (Å, degrees): 3.022 4.732 5.154 90.00 90.00 90.00
Element x y z (fractional)
Sr1 0.000 0.000 0.000
Be1 0.500 0.500 0.000
W1 0.000 0.500 0.500
W2 0.500 0.000 0.500

***

Question: Which formula does entry 2 have?
Answer: Ac4Bi8Pd3